Entry 1:
A plane-wave DFT calculation with GGA-PBE was carried out for CaSnMoW2 after structural relaxation.

Computed properties:
DFT formation energy	2793	meV/atom
crystal system	tetragonal

```
data_CaSnMoW2
_chemical_formula_sum 'Ca1 Sn1 Mo1 W2'
_cell_length_a 4.725
_cell_length_b 4.725
_cell_length_c 4.634
_cell_angle_alpha 90.00
_cell_angle_beta 90.00
_cell_angle_gamma 90.00
_symmetry_space_group_name_H-M 'P 1'
_symmetry_Int_Tables_number 1
loop_
_symmetry_equiv_pos_as_xyz
'x,y,z'
loop_
_atom_site_label
_atom_site_fract_x
_atom_site_fract_y
_atom_site_fract_z
Ca1 0.000 0.000 0.000
Sn1 0.500 0.500 0.500
Mo1 0.000 0.000 0.500
W1 0.000 0.500 0.000
W2 0.500 0.000 0.000
```

Entry 2:
A plane-wave DFT calculation with GGA-PBE was carried out for TaTl2Fe after structural relaxation.

Computed properties:
DFT formation energy	723	meV/atom
crystal system	monoclinic
energy above the lowest structure with this stoichiometry	364.4	meV per atom

```
data_TaTl2Fe
_chemical_formula_sum 'Ta1 Tl2 Fe1'
_cell_length_a 3.041
_cell_length_b 4.565
_cell_length_c 5.753
_cell_angle_alpha 90.00
_cell_angle_beta 98.28
_cell_angle_gamma 90.00
_symmetry_space_group_name_H-M 'P 1'
_symmetry_Int_Tables_number 1
loop_
_symmetry_equiv_pos_as_xyz
'x,y,z'
loop_
_atom_site_label
_atom_site_fract_x
_atom_site_fract_y
_atom_site_fract_z
Ta1 0.000 0.000 0.000
Tl1 0.322 0.500 0.743
Tl2 0.678 0.500 0.257
Fe1 0.500 0.000 0.500
```

Entry 3:
A plane-wave DFT calculation with GGA-PBE was carried out for TbInSb2 after structural relaxation.

Computed properties:
energy relative to the elements, uncorrected	-0.383	eV per atom
crystal system	trigonal
energy above the lowest structure with this stoichiometry	71.9	meV per atom

```
data_TbInSb2
_chemical_formula_sum 'Tb1 In1 Sb2'
_cell_length_a 7.821
_cell_length_b 7.821
_cell_length_c 7.821
_cell_angle_alpha 32.16
_cell_angle_beta 32.16
_cell_angle_gamma 32.16
_symmetry_space_group_name_H-M 'P 1'
_symmetry_Int_Tables_number 1
loop_
_symmetry_equiv_pos_as_xyz
'x,y,z'
loop_
_atom_site_label
_atom_site_fract_x
_atom_site_fract_y
_atom_site_fract_z
Tb1 0.000 0.000 0.000
In1 0.500 0.500 0.500
Sb1 0.248 0.248 0.248
Sb2 0.752 0.752 0.752
```

Entry 4:
A plane-wave DFT calculation with GGA-PBE was carried out for TbSm2Cu after structural relaxation.

Computed properties:
DFT formation energy	58	meV/atom
crystal system	trigonal
energy above the lowest structure with this stoichiometry	135.0	meV per atom

```
data_TbSm2Cu
_chemical_formula_sum 'Tb1 Sm2 Cu1'
_cell_length_a 10.149
_cell_length_b 10.149
_cell_length_c 10.149
_cell_angle_alpha 20.83
_cell_angle_beta 20.83
_cell_angle_gamma 20.83
_symmetry_space_group_name_H-M 'P 1'
_symmetry_Int_Tables_number 1
loop_
_symmetry_equiv_pos_as_xyz
'x,y,z'
loop_
_atom_site_label
_atom_site_fract_x
_atom_site_fract_y
_atom_site_fract_z
Tb1 0.000 0.000 0.000
Sm1 0.569 0.569 0.569
Sm2 0.765 0.765 0.765
Cu1 0.167 0.167 0.167
```

no.,M_tot (μB/cell)
1,0.00
2,2.29
3,0.00
4,0.00